Here is a geometry-optimized LiPrMg2In4 structure from the Alexandria database. Energies are from PBE.

The structure in CIF format:
```
data_LiPrMg2In4
_chemical_formula_sum 'Li3 Pr3 Mg6 In12'
_cell_length_a 5.0240
_cell_length_b 5.0240
_cell_length_c 26.6070
_cell_angle_alpha 90.00
_cell_angle_beta 90.00
_cell_angle_gamma 120.00
_symmetry_space_group_name_H-M 'R -3 m'
_symmetry_Int_Tables_number 166
_symmetry_space_group_name_Hall '-R 3 2"'
loop_
_atom_site_label
_atom_site_type_symbol
_atom_site_fract_x
_atom_site_fract_y
_atom_site_fract_z
_atom_site_occupancy
Li1 Li 0.0000 0.0000 0.0000 1
Pr1 Pr 0.0000 0.0000 0.5000 1
Mg1 Mg 0.0000 0.0000 0.2509 1
In1 In 0.0000 0.0000 0.1101 1
In2 In 0.0000 0.0000 0.3690 1
```

=====

Here is a geometry-optimized Li2Pu2MgIn5 structure from the Alexandria database. Energies are from PBE.

The structure in CIF format:
```
data_Li2Pu2MgIn5
_chemical_formula_sum 'Li4 Pu4 Mg2 In10'
_cell_length_a 11.6966
_cell_length_b 11.6966
_cell_length_c 3.3442
_cell_angle_alpha 90.00
_cell_angle_beta 90.00
_cell_angle_gamma 90.00
_symmetry_space_group_name_H-M 'P 4/m b m'
_symmetry_Int_Tables_number 127
_symmetry_space_group_name_Hall '-P 4 2ab'
loop_
_atom_site_label
_atom_site_type_symbol
_atom_site_fract_x
_atom_site_fract_y
_atom_site_fract_z
_atom_site_occupancy
Li1 Li 0.1291 0.3709 0.0000 1
Pu1 Pu 0.1758 0.6758 0.0000 1
Mg1 Mg 0.0000 0.0000 0.0000 1
In1 In 0.0000 0.5000 0.5000 1
In2 In 0.0595 0.2018 0.5000 1
```

=====

Number 1: ΔH_f (0 K) -0.27 eV per atom. Number 2: ΔH_f (0 K) -0.13 eV per atom.